[1]
AlTc2Ru: optimized geometry, PBE.

Cell and atoms, written as POSCAR:
```
AlTc2Ru
1.0
-1.885 1.885 4.038
1.885 -1.885 4.038
1.885 1.885 -4.038
Al Tc Ru
1 2 1
direct
0.000 0.000 0.000
0.500 0.500 0.000
0.750 0.250 0.500
0.250 0.750 0.500
```

Calculated values
Calculated volume, Å³/atom: 14.348
Calculated formation energy, kJ per mole of atoms: -8
Electronic total energy, eV/atom: -8.526
Distance to the lowest polymorph of the same formula, meV/atom: 161
SG: I-4m2, No. 119
Magnetic moment, μB per cell: 0.00

***

[2]
Dy2NiPt: optimized geometry, PBE.

Cell and atoms, written as POSCAR:
```
Dy2NiPt
1.0
1.999 1.154 6.526
-1.999 1.154 6.526
0.000 -2.308 6.526
Dy Ni Pt
2 1 1
direct
0.247 0.247 0.247
0.753 0.753 0.753
0.500 0.500 0.500
0.000 0.000 0.000
```

Calculated values
Calculated volume, Å³/atom: 22.577
Calculated formation energy, kJ per mole of atoms: -65
Electronic total energy, eV/atom: -5.926
SG: R-3m, No. 166
Magnetic moment, μB per cell: 0.00

***

[3]
ScAl2Tc: optimized geometry, PBE.

Cell and atoms, written as POSCAR:
```
ScAl2Tc
1.0
0.000 3.180 3.180
3.180 0.000 3.180
3.180 3.180 0.000
Sc Al Tc
1 2 1
direct
0.000 0.000 0.000
0.250 0.250 0.250
0.500 0.500 0.500
0.750 0.750 0.750
```

Calculated values
Calculated volume, Å³/atom: 16.073
Calculated formation energy, kJ per mole of atoms: -26
Electronic total energy, eV/atom: -6.315
Distance to the lowest polymorph of the same formula, meV/atom: 144
SG: F-43m, No. 216
Magnetic moment, μB per cell: 0.00

***

[4]
InRuSeI2: optimized geometry, PBE.

Cell and atoms, written as POSCAR:
```
InRuSeI2
1.0
5.737 0.000 0.000
0.000 5.737 0.000
0.000 0.000 4.641
In Ru Se I
1 1 1 2
direct
0.000 0.000 0.000
0.500 0.500 0.500
0.500 0.500 0.000
0.000 0.500 0.500
0.500 0.000 0.500
```

Calculated values
Calculated volume, Å³/atom: 30.548
Electronic total energy, eV/atom: -3.691
SG: P4/mmm, No. 123
Magnetic moment, μB per cell: 0.00

***

[5]
ReMoAu2: optimized geometry, PBE.

Cell and atoms, written as POSCAR:
```
ReMoAu2
1.0
0.000 3.212 3.212
3.212 0.000 3.212
3.212 3.212 0.000
Re Mo Au
1 1 2
direct
0.000 0.000 0.000
0.500 0.500 0.500
0.250 0.250 0.250
0.750 0.750 0.750
```

Calculated values
Calculated volume, Å³/atom: 16.572
Calculated formation energy, kJ per mole of atoms: 72
Electronic total energy, eV/atom: -6.717
Distance to the lowest polymorph of the same formula, meV/atom: 485
SG: Fm-3m, No. 225
Magnetic moment, μB per cell: 0.00

***

[6]
NaTl3Cd8: optimized geometry, PBE.

Cell and atoms, written as POSCAR:
```
NaTl3Cd8
1.0
3.007 1.736 9.947
-3.007 1.736 9.947
0.000 -3.472 9.947
Na Tl Cd
1 3 8
direct
0.000 0.000 0.000
0.126 0.126 0.126
0.501 0.501 0.501
0.627 0.627 0.627
0.062 0.562 0.562
0.063 0.063 0.564
0.063 0.564 0.063
0.313 0.313 0.313
0.562 0.062 0.562
0.562 0.562 0.062
0.564 0.063 0.063
0.812 0.812 0.812
```

Calculated values
Calculated volume, Å³/atom: 25.957
Calculated formation energy, kJ per mole of atoms: -2
Electronic total energy, eV/atom: -1.335
SG: R3m, No. 160
Magnetic moment, μB per cell: 0.00

***

[7]
Tm4CuRh2: optimized geometry, PBE.

Cell and atoms, written as POSCAR:
```
Tm4CuRh2
1.0
-3.378 3.378 3.388
3.378 -3.378 3.388
3.378 3.378 -3.388
Tm Cu Rh
4 1 2
direct
0.000 0.000 0.500
0.000 0.500 0.000
0.500 0.000 0.000
0.500 0.500 0.500
0.000 0.000 0.000
0.000 0.500 0.500
0.500 0.000 0.500
```

Calculated values
Calculated volume, Å³/atom: 22.098
Calculated formation energy, kJ per mole of atoms: -56
Electronic total energy, eV/atom: -5.821
SG: I4/mmm, No. 139
Magnetic moment, μB per cell: 0.00

***

[8]
Ba3La5: optimized geometry, PBE.

Cell and atoms, written as POSCAR:
```
Ba3La5
1.0
5.566 -5.691 0.000
5.566 5.691 0.000
0.000 0.000 5.426
Ba La
3 5
direct
0.000 0.000 0.000
0.254 0.254 0.500
0.746 0.746 0.500
0.000 0.500 0.000
0.267 0.733 0.500
0.500 0.000 0.000
0.500 0.500 0.000
0.733 0.267 0.500
```

Calculated values
Calculated volume, Å³/atom: 42.968
Calculated formation energy, kJ per mole of atoms: 18
Electronic total energy, eV/atom: -3.615
Distance to the lowest polymorph of the same formula, meV/atom: 0
SG: Cmmm, No. 65
Magnetic moment, μB per cell: 0.00

***

> Look up the electronic total energy of the first one.

-8.526 eV/atom